# CaHgB2Pt

A geometry-optimized CaHgB2Pt structure (PBE-GGA, Alexandria via LeMat-Bulk).

a b c (Å): 4.1801 4.1801 6.0491
angles (deg): 90.00 90.00 90.00
Positions (direct):
Ca (0.0000, 0.0000, 0.0000)
Hg (0.0000, 0.0000, 0.5000)
B (0.0000, 0.5000, 0.5000)
B (0.5000, 0.0000, 0.5000)
Pt (0.5000, 0.5000, 0.0000)

Its density of states at the Fermi level is 1.436 states/eV/cell. For the energy of formation, the calculation gives 1.2841 eV/atom. Its space group is P4/mmm.

=====

# Ca2HgB3Pt12

A geometry-optimized Ca2HgB3Pt12 structure (PBE-GGA, Alexandria via LeMat-Bulk).

a b c (Å): 7.3649 7.3649 7.3649
angles (deg): 66.18 66.18 66.18
Positions (direct):
Ca (0.0960, 0.0960, 0.0960)
Ca (0.9040, 0.9040, 0.9040)
Hg (0.5000, 0.5000, 0.5000)
B (0.0000, 0.5000, 0.5000)
B (0.5000, 0.0000, 0.5000)
B (0.5000, 0.5000, 0.0000)
Pt (0.0968, 0.6358, 0.6358)
Pt (0.1796, 0.1796, 0.5889)
Pt (0.1796, 0.5889, 0.1796)
Pt (0.3642, 0.3642, 0.9032)
Pt (0.3642, 0.9032, 0.3642)
Pt (0.4111, 0.8204, 0.8204)
Pt (0.5888, 0.1796, 0.1796)
Pt (0.6358, 0.0968, 0.6358)
Pt (0.6358, 0.6358, 0.0968)
Pt (0.8204, 0.4112, 0.8204)
Pt (0.8204, 0.8204, 0.4112)
Pt (0.9032, 0.3642, 0.3642)

Its density of states at the Fermi level is 7.837 states/eV/cell. For the energy of formation, the calculation gives -0.1980 eV/atom. Its space group is R-3m.

=====

| no. | energy (eV per atom) |
| --- | --- |
| 1 | -3.06 |
| 2 | -5.58 |